No. 1
# ZrBeOF2

A PBEsol-optimized structure of ZrBeOF2 (SCAN, the Alexandria database).

## Properties
Uncorrected formation energy   -2159 meV per atom

The structure in CIF format:
```
data_ZrBeOF2
_space_group_name_H-M_alt 'P 4/m m m'
_space_group_IT_number 123
_space_group_name_Hall '-P 4 2'
_cell_length_a 4.257
_cell_length_b 4.257
_cell_length_c 4.004
_cell_angle_alpha 90.00
_cell_angle_beta 90.00
_cell_angle_gamma 90.00
loop_
_atom_site_label
_atom_site_type_symbol
_atom_site_fract_x
_atom_site_fract_y
_atom_site_fract_z
_atom_site_occupancy
Zr1 Zr 0.000 0.000 0.000 1
Be1 Be 0.500 0.500 0.500 1
O1 O 0.000 0.000 0.500 1
F1 F 0.000 0.500 0.000 1
```



No. 2
# BeOsF3

A PBEsol-optimized structure of BeOsF3 (SCAN, the Alexandria database).

## Properties
Uncorrected formation energy   -188 meV per atom

The structure in CIF format:
```
data_BeOsF3
_space_group_name_H-M_alt 'P m -3 m'
_space_group_IT_number 221
_space_group_name_Hall '-P 4 2 3'
_cell_length_a 4.094
_cell_length_b 4.094
_cell_length_c 4.094
_cell_angle_alpha 90.00
_cell_angle_beta 90.00
_cell_angle_gamma 90.00
loop_
_atom_site_label
_atom_site_type_symbol
_atom_site_fract_x
_atom_site_fract_y
_atom_site_fract_z
_atom_site_occupancy
Be1 Be 0.000 0.000 0.000 1
Os1 Os 0.500 0.500 0.500 1
F1 F 0.000 0.500 0.500 1
```



Q: What is the formula in the second record?
A: BeOsF3



Q: Which of these has the lowest uncorrected formation energy?
A: ZrBeOF2